The following is a GGA-PBEsol calculation of a geometry-optimized SiIrW2 structure, from the Alexandria database.

total DFT energy (no corrections)	-0.7897	Ry per atom
magnetic moment	0.0	μB/cell
Fermi-level density of states	0.7645	states/eV per atom

a = 4.6235 Å, b = 4.6235 Å, c = 2.7343 Å
α = 90.00°, β = 90.00°, γ = 90.00°
Element x y z (fractional)
Si: 0.0000 0.0000 0.0000
Ir: 0.5000 0.5000 0.0000
W: 0.0000 0.5000 0.5000
W: 0.5000 0.0000 0.5000

---

The following is a GGA-PBEsol calculation of a geometry-optimized YSi3Ir structure, from the Alexandria database.

total DFT energy (no corrections)	-0.4875	Ry per atom
magnetic moment	0.0	μB/cell
Fermi-level density of states	0.5882	states/eV per atom

a = 4.6660 Å, b = 4.6660 Å, c = 4.6660 Å
α = 90.00°, β = 90.00°, γ = 90.00°
Element x y z (fractional)
Y: 0.0000 0.0000 0.0000
Si: 0.0000 0.5000 0.5000
Si: 0.5000 0.0000 0.5000
Si: 0.5000 0.5000 0.0000
Ir: 0.5000 0.5000 0.5000

---

The following is a GGA-PBEsol calculation of a geometry-optimized Y2SiIr structure, from the Alexandria database.

total DFT energy (no corrections)	-0.5866	Ry per atom
magnetic moment	0.0	μB/cell
Fermi-level density of states	0.4916	states/eV per atom

a = 4.6513 Å, b = 4.6513 Å, c = 3.6879 Å
α = 90.00°, β = 90.00°, γ = 90.00°
Element x y z (fractional)
Y: 0.0000 0.5000 0.0000
Y: 0.5000 0.0000 0.0000
Si: 0.0000 0.0000 0.5000
Ir: 0.5000 0.5000 0.5000

---

The following is a GGA-PBEsol calculation of a geometry-optimized YSi3Ir structure, from the Alexandria database.

total DFT energy (no corrections)	-0.5610	Ry per atom
magnetic moment	0.0	μB/cell
Fermi-level density of states	0.2580	states/eV per atom

a = 4.1538 Å, b = 4.1538 Å, c = 9.7428 Å
α = 90.00°, β = 90.00°, γ = 90.00°
Element x y z (fractional)
Y: 0.0000 0.0000 0.0000
Y: 0.5000 0.5000 0.5000
Si: 0.0000 0.0000 0.5836
Si: 0.0000 0.5000 0.2330
Si: 0.0000 0.5000 0.7330
Si: 0.5000 0.0000 0.2330
Si: 0.5000 0.0000 0.7330
Si: 0.5000 0.5000 0.0836
Ir: 0.0000 0.0000 0.3462
Ir: 0.5000 0.5000 0.8462

---

Energy relative to the elements, uncorrected (eV per formula unit)
0.2, 0.7, -2.7, -4.3